1.
ReBr2O PBE-GGA optimized geometry; D(E_F) = 1.033 states/eV per atom; space-group type = I-42d, No. 122; formation energy from raw total energies = 1.035 eV per atom; uncorrected energy = -4.1531 eV/atom
1.0
6.192 0.000 0.000
0.000 6.192 0.000
3.096 3.096 4.310
Re Br O
2 4 2
direct
0.750 0.250 0.500 Re
0.000 0.000 0.000 Re
0.875 0.884 0.750 Br
0.634 0.125 0.250 Br
0.375 0.366 0.750 Br
0.116 0.625 0.250 Br
0.250 0.750 0.500 O
0.500 0.500 0.000 O

=====

2.
Re3BrO12 PBE-GGA optimized geometry; D(E_F) = 0.000 states/eV per atom; space-group type = R3c, No. 161; formation energy from raw total energies = -1.140 eV per atom; uncorrected energy = -7.2974 eV/atom
1.0
-6.956 -4.942 -2.893
1.444 -7.155 -5.282
-1.041 -10.063 5.662
O Br Re
24 2 6
direct
0.015 0.596 0.479 O
0.217 0.273 0.637 O
0.819 0.372 0.365 O
0.067 0.111 0.068 O
0.909 0.015 0.479 O
0.872 0.319 0.865 O
0.567 0.255 0.568 O
0.273 0.873 0.637 O
0.596 0.909 0.479 O
0.255 0.611 0.568 O
0.372 0.444 0.365 O
0.944 0.872 0.865 O
0.873 0.217 0.637 O
0.717 0.373 0.137 O
0.409 0.096 0.979 O
0.515 0.409 0.979 O
0.444 0.819 0.365 O
0.611 0.567 0.568 O
0.373 0.773 0.137 O
0.111 0.755 0.068 O
0.096 0.515 0.979 O
0.773 0.717 0.137 O
0.319 0.944 0.865 O
0.755 0.067 0.068 O
0.121 0.121 0.637 Br
0.621 0.621 0.137 Br
0.722 0.287 0.010 Re
0.222 0.481 0.510 Re
0.481 0.787 0.510 Re
0.287 0.981 0.010 Re
0.981 0.722 0.010 Re
0.787 0.222 0.510 Re

=====

3.
Re2Br2O PBE-GGA optimized geometry; D(E_F) = 1.646 states/eV per atom; space-group type = I4/mmm, No. 139; formation energy from raw total energies = 1.313 eV per atom; uncorrected energy = -5.3268 eV/atom
1.0
3.593 0.000 0.000
0.000 3.593 0.000
1.797 1.797 7.240
O Re Br
1 2 2
direct
0.000 0.000 0.000 O
0.250 0.750 0.500 Re
0.750 0.250 0.500 Re
0.605 0.605 0.790 Br
0.395 0.395 0.210 Br